Entry 1:
VASP calculation (GGA-PBE) on PmRu2C2 after structural relaxation.

a = 3.7888 Å, b = 3.7888 Å, c = 9.9579 Å
α = 90.00°, β = 90.00°, γ = 90.00°
Fractional coordinates of all 10 atoms:
Pm 0.0000 0.0000 0.0000
Pm 0.5000 0.5000 0.5000
Ru 0.0000 0.5000 0.2500
Ru 0.0000 0.5000 0.7500
Ru 0.5000 0.0000 0.2500
Ru 0.5000 0.0000 0.7500
C 0.0000 0.0000 0.3382
C 0.0000 0.0000 0.6618
C 0.5000 0.5000 0.1618
C 0.5000 0.5000 0.8382

Computed properties:
M_tot ... 0.00 μB per atom
Mass density ... 8.6 Mg/m³
E_form ... 0.040 eV per atom


Entry 2:
VASP calculation (GGA-PBE) on PmRu2C after structural relaxation.

a = 3.2469 Å, b = 3.2469 Å, c = 21.8150 Å
α = 90.00°, β = 90.00°, γ = 120.00°
Fractional coordinates of all 12 atoms:
Pm 0.0000 0.0000 0.0000
Pm 0.3333 0.6667 0.6667
Pm 0.6667 0.3333 0.3333
Ru 0.0000 0.0000 0.2096
Ru 0.0000 0.0000 0.7904
Ru 0.3333 0.6667 0.4570
Ru 0.3333 0.6667 0.8763
Ru 0.6667 0.3333 0.1237
Ru 0.6667 0.3333 0.5430
C 0.0000 0.0000 0.5000
C 0.3333 0.6667 0.1667
C 0.6667 0.3333 0.8333

Computed properties:
M_tot ... 0.00 μB per atom
Mass density ... 9.0 Mg/m³
E_form ... 0.367 eV per atom
Energy relative to the lowest polymorph listed for this composition ... 303.2 meV per atom


Entry 3:
VASP calculation (GGA-PBE) on Pm2Sn2Ru2C after structural relaxation.

a = 11.6118 Å, b = 4.3202 Å, c = 7.4157 Å
α = 90.00°, β = 127.18°, γ = 90.00°
Fractional coordinates of all 14 atoms:
Pm 0.0474 0.0000 0.2719
Pm 0.4526 0.5000 0.7281
Pm 0.5474 0.5000 0.2719
Pm 0.9526 0.0000 0.7281
Sn 0.1631 0.5000 0.6940
Sn 0.3369 0.0000 0.3060
Sn 0.6631 0.0000 0.6940
Sn 0.8369 0.5000 0.3060
Ru 0.1860 0.5000 0.0770
Ru 0.3140 0.0000 0.9230
Ru 0.6860 0.0000 0.0770
Ru 0.8140 0.5000 0.9230
C 0.0000 0.5000 0.0000
C 0.5000 0.0000 0.0000

Computed properties:
M_tot ... 0.00 μB per atom
Mass density ... 8.3 Mg/m³
E_form ... -0.504 eV per atom


Entry 4:
VASP calculation (GGA-PBE) on PmSnRu2C after structural relaxation.

a = 6.1586 Å, b = 6.1586 Å, c = 7.5921 Å
α = 90.00°, β = 90.00°, γ = 140.89°
Fractional coordinates of all 10 atoms:
Pm 0.0457 0.9543 0.7500
Pm 0.9543 0.0457 0.2500
Sn 0.2330 0.7670 0.2500
Sn 0.7670 0.2330 0.7500
Ru 0.3453 0.6547 0.5579
Ru 0.3453 0.6547 0.9421
Ru 0.6547 0.3453 0.0579
Ru 0.6547 0.3453 0.4421
C 0.5000 0.5000 0.0000
C 0.5000 0.5000 0.5000

Computed properties:
M_tot ... 0.00 μB per atom
Mass density ... 8.7 Mg/m³
E_form ... -0.306 eV per atom


Entry 5:
VASP calculation (GGA-PBE) on Pm3Sn2Ru3C after structural relaxation.

a = 7.6007 Å, b = 7.6007 Å, c = 3.6879 Å
α = 90.00°, β = 90.00°, γ = 120.00°
Fractional coordinates of all 9 atoms:
Pm 0.0000 0.6501 0.0000
Pm 0.3499 0.3499 0.0000
Pm 0.6501 0.0000 0.0000
Sn 0.3333 0.6667 0.5000
Sn 0.6667 0.3333 0.5000
Ru 0.0000 0.2063 0.5000
Ru 0.2063 0.0000 0.5000
Ru 0.7937 0.7937 0.5000
C 0.0000 0.0000 0.0000

Computed properties:
M_tot ... 0.00 μB per atom
Mass density ... 8.9 Mg/m³
E_form ... -0.132 eV per atom


Entry 6:
VASP calculation (GGA-PBE) on Pm2TlRuC after structural relaxation.

a = 5.2523 Å, b = 5.2523 Å, c = 3.9522 Å
α = 90.00°, β = 90.00°, γ = 90.00°
Fractional coordinates of all 5 atoms:
Pm 0.0000 0.5000 0.0000
Pm 0.5000 0.0000 0.0000
Tl 0.0000 0.0000 0.5000
Ru 0.5000 0.5000 0.5000
C 0.5000 0.5000 0.0000

Computed properties:
M_tot ... 0.00 μB per atom
Mass density ... 9.3 Mg/m³
E_form ... -0.296 eV per atom


Entry 7:
VASP calculation (GGA-PBE) on PmU2RuC4 after structural relaxation.

a = 6.0702 Å, b = 6.0702 Å, c = 11.7255 Å
α = 90.00°, β = 90.00°, γ = 145.85°
Fractional coordinates of all 16 atoms:
Pm 0.1057 0.8943 0.7500
Pm 0.8943 0.1057 0.2500
U 0.3708 0.6292 0.5482
U 0.3708 0.6292 0.9518
U 0.6292 0.3708 0.0482
U 0.6292 0.3708 0.4518
Ru 0.1564 0.8436 0.2500
Ru 0.8436 0.1564 0.7500
C 0.0000 0.0000 0.0000
C 0.0000 0.0000 0.5000
C 0.2572 0.7428 0.1122
C 0.2572 0.7428 0.3878
C 0.4382 0.5618 0.7500
C 0.5618 0.4382 0.2500
C 0.7428 0.2572 0.6122
C 0.7428 0.2572 0.8878

Computed properties:
M_tot ... 0.00 μB per atom
Mass density ... 10.5 Mg/m³
E_form ... -0.048 eV per atom


Entry 8:
VASP calculation (GGA-PBE) on Pm3Zn2Ru3C after structural relaxation.

a = 7.4907 Å, b = 7.4907 Å, c = 3.4089 Å
α = 90.00°, β = 90.00°, γ = 120.00°
Fractional coordinates of all 9 atoms:
Pm 0.0000 0.6381 0.0000
Pm 0.3619 0.3619 0.0000
Pm 0.6381 0.0000 0.0000
Zn 0.3333 0.6667 0.5000
Zn 0.6667 0.3333 0.5000
Ru 0.0000 0.2140 0.5000
Ru 0.2140 0.0000 0.5000
Ru 0.7860 0.7860 0.5000
C 0.0000 0.0000 0.0000

Computed properties:
M_tot ... 0.00 μB per atom
Mass density ... 8.8 Mg/m³
E_form ... -0.020 eV per atom


Entry 9:
VASP calculation (GGA-PBE) on PmZn2Ru2C after structural relaxation.

a = 4.1121 Å, b = 4.1121 Å, c = 5.5712 Å
α = 90.00°, β = 90.00°, γ = 90.00°
Fractional coordinates of all 6 atoms:
Pm 0.0000 0.0000 0.0000
Zn 0.5000 0.5000 0.2186
Zn 0.5000 0.5000 0.7814
Ru 0.0000 0.5000 0.5000
Ru 0.5000 0.0000 0.5000
C 0.0000 0.0000 0.5000

Computed properties:
M_tot ... 0.00 μB per atom
Mass density ... 8.6 Mg/m³
E_form ... -0.266 eV per atom


Entry 10:
VASP calculation (GGA-PBE) on Pm4Zn2Ru2C after structural relaxation.

a = 6.3268 Å, b = 6.3268 Å, c = 5.1692 Å
α = 91.88°, β = 91.88°, γ = 70.93°
Fractional coordinates of all 9 atoms:
Pm 0.1229 0.6277 0.7492
Pm 0.3723 0.8771 0.2508
Pm 0.6277 0.1229 0.7492
Pm 0.8771 0.3723 0.2508
Zn 0.1345 0.1345 0.7766
Zn 0.8655 0.8655 0.2234
Ru 0.3688 0.3688 0.2317
Ru 0.6312 0.6312 0.7683
C 0.5000 0.5000 0.5000

Computed properties:
M_tot ... 0.00 μB per atom
Mass density ... 7.9 Mg/m³
E_form ... -0.244 eV per atom


Entry 11:
VASP calculation (GGA-PBE) on Pm2CS after structural relaxation.

a = 3.8524 Å, b = 3.8524 Å, c = 19.7075 Å
α = 90.00°, β = 90.00°, γ = 120.00°
Fractional coordinates of all 12 atoms:
Pm 0.0000 0.0000 0.2386
Pm 0.0000 0.0000 0.7614
Pm 0.3333 0.6667 0.4280
Pm 0.3333 0.6667 0.9053
Pm 0.6667 0.3333 0.0947
Pm 0.6667 0.3333 0.5720
C 0.0000 0.0000 0.5000
C 0.3333 0.6667 0.1667
C 0.6667 0.3333 0.8333
S 0.0000 0.0000 0.0000
S 0.3333 0.6667 0.6667
S 0.6667 0.3333 0.3333

Computed properties:
M_tot ... 0.00 μB per atom
Mass density ... 6.6 Mg/m³
E_form (uncorrected) ... -1.14 eV/atom
Energy relative to the lowest polymorph listed for this composition ... 0.0 meV per atom


Entry 12:
VASP calculation (GGA-PBE) on Pm2C2S after structural relaxation.

a = 7.3888 Å, b = 7.3888 Å, c = 6.9284 Å
α = 104.27°, β = 104.27°, γ = 31.25°
Fractional coordinates of all 10 atoms:
Pm 0.0826 0.6520 0.8459
Pm 0.3480 0.9174 0.6541
Pm 0.6520 0.0826 0.3459
Pm 0.9174 0.3480 0.1541
C 0.1206 0.4408 0.4648
C 0.4408 0.1206 0.9648
C 0.5592 0.8794 0.0352
C 0.8794 0.5592 0.5352
S 0.2808 0.7192 0.2500
S 0.7192 0.2808 0.7500

Computed properties:
M_tot ... 0.00 μB per atom
Mass density ... 6.1 Mg/m³
E_form (uncorrected) ... -0.93 eV/atom


Which value of M_tot does entry 6 give? 0.00 μB per atom